[1]
# SrP2ClF | Alexandria | PBE-GGA | relaxed
# Density ... 1.52 g/cm³
# Spin magnetization ... 5.5 μB per formula unit
# E ... -2.91 eV per atom
# Energy relative to the elements, uncorrected ... 162.6 kJ/mol of formula units
data_SrP2ClF
_space_group_name_H-M_alt 'P 4/m m m'
_space_group_IT_number 123
_space_group_name_Hall '-P 4 2'
_cell_length_a 6.397
_cell_length_b 6.397
_cell_length_c 5.444
_cell_angle_alpha 90.00
_cell_angle_beta 90.00
_cell_angle_gamma 90.00
loop_
_atom_site_label
_atom_site_fract_x
_atom_site_fract_y
_atom_site_fract_z
Sr1 0.000 0.000 0.000
P1 0.000 0.500 0.000
Cl1 0.000 0.000 0.500
F1 0.500 0.500 0.500

***

[2]
# SrP2ClF | Alexandria | PBE-GGA | relaxed
# Density ... 3.19 g/cm³
# Spin magnetization ... 0.0 μB per formula unit
# E ... -3.87 eV per atom
# Energy relative to the elements, uncorrected ... -302.4 kJ/mol of formula units
data_SrP2ClF
_space_group_name_H-M_alt 'P 4/m m m'
_space_group_IT_number 123
_space_group_name_Hall '-P 4 2'
_cell_length_a 4.212
_cell_length_b 4.212
_cell_length_c 5.978
_cell_angle_alpha 90.00
_cell_angle_beta 90.00
_cell_angle_gamma 90.00
loop_
_atom_site_label
_atom_site_fract_x
_atom_site_fract_y
_atom_site_fract_z
Sr1 0.000 0.000 0.000
P1 0.000 0.500 0.500
Cl1 0.500 0.500 0.000
F1 0.500 0.500 0.500

***

[3]
# TaP2ClF | Alexandria | PBE-GGA | relaxed
# Density ... 4.44 g/cm³
# Spin magnetization ... 0.0 μB per formula unit
# E ... -5.34 eV per atom
# Energy relative to the elements, uncorrected ... -32.2 kJ/mol of formula units
data_TaP2ClF
_space_group_name_H-M_alt 'P 4/m m m'
_space_group_IT_number 123
_space_group_name_Hall '-P 4 2'
_cell_length_a 4.813
_cell_length_b 4.813
_cell_length_c 4.798
_cell_angle_alpha 90.00
_cell_angle_beta 90.00
_cell_angle_gamma 90.00
loop_
_atom_site_label
_atom_site_fract_x
_atom_site_fract_y
_atom_site_fract_z
Ta1 0.000 0.000 0.000
P1 0.000 0.500 0.000
Cl1 0.000 0.000 0.500
F1 0.500 0.500 0.500

***

[4]
# TaP2ClF | Alexandria | PBE-GGA | relaxed
# Density ... 6.18 g/cm³
# Spin magnetization ... 1.0 μB per formula unit
# E ... -4.73 eV per atom
# Energy relative to the elements, uncorrected ... 266.1 kJ/mol of formula units
data_TaP2ClF
_space_group_name_H-M_alt 'P 4/m m m'
_space_group_IT_number 123
_space_group_name_Hall '-P 4 2'
_cell_length_a 4.069
_cell_length_b 4.069
_cell_length_c 4.827
_cell_angle_alpha 90.00
_cell_angle_beta 90.00
_cell_angle_gamma 90.00
loop_
_atom_site_label
_atom_site_fract_x
_atom_site_fract_y
_atom_site_fract_z
Ta1 0.000 0.000 0.000
P1 0.000 0.500 0.500
Cl1 0.500 0.500 0.000
F1 0.500 0.500 0.500

***

[5]
# TiP2ClF | Alexandria | PBE-GGA | relaxed
# Density ... 2.63 g/cm³
# Spin magnetization ... 0.5 μB per formula unit
# E ... -4.66 eV per atom
# Energy relative to the elements, uncorrected ... -82.5 kJ/mol of formula units
data_TiP2ClF
_space_group_name_H-M_alt 'P 4/m m m'
_space_group_IT_number 123
_space_group_name_Hall '-P 4 2'
_cell_length_a 4.723
_cell_length_b 4.723
_cell_length_c 4.646
_cell_angle_alpha 90.00
_cell_angle_beta 90.00
_cell_angle_gamma 90.00
loop_
_atom_site_label
_atom_site_fract_x
_atom_site_fract_y
_atom_site_fract_z
Ti1 0.000 0.000 0.000
P1 0.000 0.500 0.000
Cl1 0.000 0.000 0.500
F1 0.500 0.500 0.500

***

[6]
# TiP2ClF | Alexandria | PBE-GGA | relaxed
# Density ... 3.30 g/cm³
# Spin magnetization ... 0.0 μB per formula unit
# E ... -4.33 eV per atom
# Energy relative to the elements, uncorrected ... 77.1 kJ/mol of formula units
data_TiP2ClF
_space_group_name_H-M_alt 'P 4/m m m'
_space_group_IT_number 123
_space_group_name_Hall '-P 4 2'
_cell_length_a 4.054
_cell_length_b 4.054
_cell_length_c 5.025
_cell_angle_alpha 90.00
_cell_angle_beta 90.00
_cell_angle_gamma 90.00
loop_
_atom_site_label
_atom_site_fract_x
_atom_site_fract_y
_atom_site_fract_z
Ti1 0.000 0.000 0.000
P1 0.000 0.500 0.500
Cl1 0.500 0.500 0.000
F1 0.500 0.500 0.500